Below is a relaxed Sr2HfBe crystal, with properties calculated at the PBE-GGA level.

a = 5.396 Å, b = 5.396 Å, c = 5.396 Å
α = 60.00°, β = 60.00°, γ = 60.00°
Sites, in units of the cell vectors:
Be1 0.500 0.500 0.500
Hf1 0.250 0.250 0.250
Sr1 0.000 0.000 0.000
Sr2 0.750 0.750 0.750

## Properties
* space group: F-43m, No. 216
* final energy: -3.35 eV per atom